DFT (PBE) results for a relaxed Tb3Y2In2 crystal.

Calculated values
Energy relative to the lowest polymorph listed for this composition = 0.80 eV per formula unit

Cell lengths 4.919, 3.461, 12.146 Å; angles 90.00, 78.32, 90.00 degrees
Fractional positions:
Y1 0.713 0.500 0.573
Tb1 0.141 0.000 0.718
Y2 0.287 0.500 0.427
Tb2 0.000 0.000 0.000
In1 0.571 0.500 0.858
In2 0.429 0.500 0.142
Tb3 0.859 0.000 0.282

DFT (PBE) results for a relaxed Tb3Y2In4 crystal.

Calculated values
Energy relative to the lowest polymorph listed for this composition = 1.50 eV per formula unit

Cell lengths 7.075, 9.526, 8.657 Å; angles 90.00, 114.12, 90.00 degrees
Fractional positions:
In1 0.232 0.750 0.965
In2 0.192 0.972 0.384
In3 0.768 0.250 0.035
In4 0.808 0.028 0.616
Y1 0.608 0.944 0.217
In5 0.732 0.750 0.965
Tb1 0.034 0.750 0.567
Tb2 0.000 0.000 0.000
Y2 0.392 0.056 0.783
Tb3 0.534 0.750 0.567
In6 0.308 0.472 0.616
Tb4 0.500 0.500 0.000
Tb5 0.966 0.250 0.433
Y3 0.108 0.556 0.217
In7 0.692 0.528 0.384
In8 0.268 0.250 0.035
Tb6 0.466 0.250 0.433
Y4 0.892 0.444 0.783

DFT (PBE) results for a relaxed TbY4In crystal.

Calculated values
Energy relative to the lowest polymorph listed for this composition = 0.00 eV per formula unit

Cell lengths 3.591, 3.591, 14.265 Å; angles 89.99, 89.99, 90.00 degrees
Fractional positions:
Y1 0.000 0.000 0.676
Y2 0.000 0.000 0.324
In1 0.000 0.000 0.000
Y3 0.500 0.500 0.146
Tb1 0.500 0.500 0.500
Y4 0.500 0.500 0.854

DFT (PBE) results for a relaxed Tb3YIn2 crystal.

Calculated values
Energy relative to the lowest polymorph listed for this composition = 0.74 eV per formula unit

Cell lengths 5.316, 9.081, 9.331 Å; angles 123.92, 90.00, 107.02 degrees
Fractional positions:
In1 0.230 0.460 0.867
In2 0.770 0.540 0.133
Tb1 0.383 0.766 0.313
Tb2 0.308 0.616 0.611
Tb3 0.058 0.115 0.401
In3 0.477 0.953 0.123
Tb4 0.942 0.885 0.599
Y1 0.130 0.260 0.090
In4 0.523 0.047 0.877
Y2 0.870 0.740 0.910
Tb5 0.617 0.234 0.687
Tb6 0.692 0.384 0.389

DFT (PBE) results for a relaxed Tb2YIn crystal.

Calculated values
Energy relative to the lowest polymorph listed for this composition = 0.17 eV per formula unit

Cell lengths 3.594, 3.594, 9.276 Å; angles 90.00, 90.00, 90.00 degrees
Fractional positions:
Tb1 0.000 0.000 0.774
Tb2 0.000 0.000 0.226
In1 0.500 0.500 0.000
Y1 0.500 0.500 0.500

DFT (PBE) results for a relaxed TbY7In4 crystal.

Cell lengths 5.651, 9.303, 7.783 Å; angles 75.80, 68.71, 72.32 degrees
Fractional positions:
Y1 0.212 0.122 0.454
Tb1 0.000 0.000 0.000
In1 0.439 0.760 0.362
In2 0.561 0.240 0.638
Y2 0.063 0.607 0.267
Y3 0.500 0.000 0.000
Y4 0.716 0.344 0.225
Y5 0.937 0.393 0.733
In3 0.318 0.333 0.030
Y6 0.788 0.878 0.546
In4 0.682 0.667 0.970
Y7 0.284 0.656 0.775

DFT (PBE) results for a relaxed Tb3YIn crystal.

Calculated values
Energy relative to the lowest polymorph listed for this composition = 0.45 eV per formula unit

Cell lengths 6.262, 9.337, 11.289 Å; angles 112.69, 90.00, 90.00 degrees
Fractional positions:
Tb1 0.906 0.162 0.113
Tb2 0.748 0.953 0.516
Tb3 0.594 0.662 0.613
Tb4 0.752 0.453 0.016
Tb5 0.094 0.838 0.887
In1 0.365 0.285 0.092
In2 0.635 0.715 0.908
Y1 0.576 0.032 0.842
Tb6 0.080 0.165 0.796
Tb7 0.580 0.335 0.704
Y2 0.924 0.532 0.342
In3 0.865 0.215 0.408
Tb8 0.406 0.338 0.387
Y3 0.424 0.968 0.158
In4 0.135 0.785 0.592
Tb9 0.420 0.665 0.296
Tb10 0.252 0.047 0.484
Y4 0.076 0.468 0.658
Tb11 0.248 0.547 0.984
Tb12 0.920 0.835 0.204

DFT (PBE) results for a relaxed TbY2In2 crystal.

Calculated values
Energy relative to the lowest polymorph listed for this composition = 0.27 eV per formula unit

Cell lengths 5.387, 6.523, 8.471 Å; angles 90.00, 108.54, 90.00 degrees
Fractional positions:
In1 0.785 0.860 0.571
Y1 0.972 0.779 0.945
Tb1 0.597 0.581 0.194
In2 0.602 0.067 0.205
Y2 0.028 0.279 0.055
Y3 0.802 0.348 0.604
In3 0.398 0.567 0.795
In4 0.215 0.360 0.429
Tb2 0.403 0.081 0.806
Y4 0.198 0.848 0.396

DFT (PBE) results for a relaxed Tb5YIn6 crystal.

Cell lengths 5.341, 7.521, 8.448 Å; angles 90.00, 71.57, 90.00 degrees
Fractional positions:
Tb1 0.333 0.000 0.333
In1 0.166 0.750 0.667
Y1 0.000 0.000 0.000
In2 0.500 0.750 0.000
In3 0.500 0.250 0.000
Tb2 0.667 0.000 0.667
Tb3 0.667 0.500 0.666
In4 0.166 0.250 0.667
Tb4 0.000 0.500 0.000
Tb5 0.333 0.500 0.334
In5 0.834 0.250 0.333
In6 0.834 0.750 0.333

DFT (PBE) results for a relaxed Tb5Y4In crystal.

Calculated values
Energy relative to the lowest polymorph listed for this composition = 0.98 eV per formula unit

Cell lengths 5.832, 8.045, 8.045 Å; angles 82.45, 68.75, 68.75 degrees
Fractional positions:
Tb1 0.769 0.000 0.371
In1 0.188 0.000 0.000
Tb2 0.140 0.000 0.629
Tb3 0.769 0.371 0.000
Y1 0.459 0.315 0.685
Y2 0.773 0.685 0.685
Tb4 0.140 0.629 0.000
Y3 0.144 0.315 0.315
Tb5 0.670 0.000 0.000
Y4 0.459 0.685 0.315

DFT (PBE) results for a relaxed Tb8YIn2 crystal.

Cell lengths 5.694, 8.824, 8.824 Å; angles 119.75, 103.10, 103.10 degrees
Fractional positions:
In1 0.000 0.307 0.693
Tb1 0.295 0.591 0.591
Tb2 0.705 0.409 0.409
Tb3 0.872 0.675 0.905
Tb4 0.500 0.216 0.784
Tb5 0.128 0.095 0.325
In2 0.000 0.693 0.307
Tb6 0.500 0.784 0.216
Tb7 0.128 0.325 0.095
Y1 0.500 0.000 0.000
Tb8 0.872 0.905 0.675

DFT (PBE) results for a relaxed Tb7Y4In crystal.

Cell lengths 5.906, 11.574, 6.731 Å; angles 81.41, 63.98, 75.22 degrees
Fractional positions:
Tb1 0.500 0.000 0.000
In1 0.000 0.000 0.000
Tb2 0.799 0.923 0.480
Y1 0.152 0.374 0.323
Y2 0.362 0.771 0.504
Tb3 0.201 0.077 0.520
Tb4 0.369 0.476 0.787
Y3 0.638 0.229 0.496
Tb5 0.093 0.723 0.090
Tb6 0.631 0.524 0.213
Y4 0.848 0.626 0.677
Tb7 0.907 0.277 0.910

Number 1: VASP energy -0.35038 Ry per atom, E_form -0.153 eV per atom, theoretical density 7.25 g/cm3. Number 2: VASP energy -0.32794 Ry per atom, E_form -0.265 eV per atom, theoretical density 6.95 g/cm3. Number 3: VASP energy -0.41891 Ry per atom, E_form -0.162 eV per atom, theoretical density 5.68 g/cm3. Number 4: VASP energy -0.33435 Ry per atom, E_form -0.244 eV per atom, theoretical density 7.55 g/cm3. Number 5: VASP energy -0.35606 Ry per atom, E_form -0.229 eV per atom, theoretical density 7.23 g/cm3. Number 6: VASP energy -0.38207 Ry per atom, E_form -0.129 eV per atom, theoretical density 5.74 g/cm3. Number 7: VASP energy -0.34697 Ry per atom, E_form -0.102 eV per atom, theoretical density 7.42 g/cm3. Number 8: VASP energy -0.36404 Ry per atom, E_form -0.346 eV per atom, theoretical density 6.67 g/cm3. Number 9: VASP energy -0.31743 Ry per atom, E_form -0.482 eV per atom, theoretical density 8.11 g/cm3. Number 10: VASP energy -0.37241 Ry per atom, E_form 0.108 eV per atom, theoretical density 6.41 g/cm3. Number 11: VASP energy -0.33036 Ry per atom, E_form -0.042 eV per atom, theoretical density 7.69 g/cm3. Number 12: VASP energy -0.35998 Ry per atom, E_form 0.186 eV per atom, theoretical density 6.58 g/cm3.